Here is crystalline BaPtSe2 at its relaxed geometry from Alexandria. Energies are from PBE.

Unit cell a=5.236 b=5.240 c=5.251 alpha=71.61 beta=68.19 gamma=108.27
Positions (direct):
Pt  0.500  0.500  0.000
Ba  0.000  0.500  0.500
Se  0.500  0.000  0.500
Se  0.000  0.000  0.000

Values from the calculation:
Uncorrected formation energy in eV per formula unit: -1.63
Calculated density in Mg/m³: 7.353
Polymorph energy (0 for the lowest one) in eV per formula unit: 2.66
E in eV/cell: -16.57
Space group: C2/m, No. 12
Calculated volume in Å³/cell: 111